(1)
Computed, not measured: a relaxed CdAg3Cl crystal at the PBE level of DFT.

Calculated values
total magnetization	0.000	μB/atom
uncorrected formation energy	0.542	eV per atom
energy above the lowest structure with this stoichiometry	1.80	kcal/mol of atoms
crystal system	cubic
total DFT energy (no corrections)	-8.61	eV/cell

Cell lengths 5.257, 5.257, 5.257 Å; angles 90.00, 90.00, 90.00 degrees
Space group Pm-3m (No. 221)
Unique sites:
Cd 0.000 0.000 0.000
Ag 0.000 0.000 0.500
Cl 0.500 0.500 0.500

***

(2)
Computed, not measured: a relaxed La6MgN3 crystal at the PBE level of DFT.

Calculated values
total magnetization	0.143	μB/atom
uncorrected formation energy	-0.687	eV per atom
crystal system	trigonal
total DFT energy (no corrections)	-189.01	eV/cell

Cell lengths 6.9073, 6.9073, 18.2172 Å; angles 90.00, 90.00, 120.00 degrees
Space group R3 (No. 146, hexagonal axes)
Unique sites:
La 0.0069 0.5651 0.0000
La 0.0226 0.3430 0.8259
Mg 0.0000 0.0000 0.9874
N 0.0000 0.0000 0.2260
N 0.0000 0.0000 0.4111
N 0.0000 0.0000 0.7508

***

(3)
Computed, not measured: a relaxed Rb2PuAgSe4 crystal at the PBE level of DFT.

Calculated values
total magnetization	0.484	μB/atom
uncorrected formation energy	-0.923	eV per atom
crystal system	monoclinic
total DFT energy (no corrections)	-40.44	eV/cell

Cell lengths 7.700, 4.164, 8.430 Å; angles 90.00, 111.54, 90.00 degrees
Space group P2/m (No. 10)
Unique sites:
Rb 0.000 0.000 0.000
Rb 0.500 0.500 0.000
Pu 0.000 0.500 0.500
Ag 0.500 0.000 0.500
Se 0.199 0.000 0.713
Se 0.278 0.500 0.341

***

(4)
Computed, not measured: a relaxed AlSe3 crystal at the PBE level of DFT.

Calculated values
total magnetization	0.000	μB/atom
uncorrected formation energy	0.155	eV per atom
energy above the lowest structure with this stoichiometry	10.11	kcal/mol of atoms
crystal system	tetragonal
total DFT energy (no corrections)	-13.57	eV/cell

Cell lengths 3.314, 3.314, 7.450 Å; angles 90.00, 90.00, 90.00 degrees
Space group P4/mmm (No. 123)
Unique sites:
Al 0.000 0.000 0.000
Se 0.000 0.000 0.500
Se 0.500 0.500 0.188

***

(5)
Computed, not measured: a relaxed AlCrIr3 crystal at the PBE level of DFT.

Calculated values
total magnetization	0.000	μB/atom
crystal system	cubic
total DFT energy (no corrections)	-34.38	eV/cell
energy relative to the elements	1.1141	eV/atom

Cell lengths 4.475, 4.475, 4.475 Å; angles 90.00, 90.00, 90.00 degrees
Space group Pm-3m (No. 221)
Unique sites:
Al 0.000 0.000 0.000
Cr 0.500 0.500 0.500
Ir 0.000 0.500 0.500

***

(6)
Computed, not measured: a relaxed Tc2Sn2P crystal at the PBE level of DFT.

Calculated values
total magnetization	0.000	μB/atom
crystal system	tetragonal
total DFT energy (no corrections)	-67.07	eV/cell
energy relative to the elements	0.1228	eV/atom

Cell lengths 6.421, 6.421, 4.323 Å; angles 90.00, 90.00, 90.00 degrees
Space group P4/mbm (No. 127)
Unique sites:
Tc 0.160 0.340 0.000
Sn 0.159 0.659 0.500
P 0.000 0.000 0.000

***

(7)
Computed, not measured: a relaxed Ti2BiS crystal at the PBE level of DFT.

Calculated values
total magnetization	0.000	μB/atom
uncorrected formation energy	-0.743	eV per atom
energy above the lowest structure with this stoichiometry	0.07	kcal/mol of atoms
crystal system	trigonal
total DFT energy (no corrections)	-80.31	eV/cell

Cell lengths 3.6075, 3.6075, 20.0009 Å; angles 90.00, 90.00, 120.00 degrees
Space group R3m (No. 160, hexagonal axes)
Unique sites:
Ti 0.0000 0.0000 0.0000
Ti 0.0000 0.0000 0.2110
Bi 0.0000 0.0000 0.7734
S 0.0000 0.0000 0.6047

***

(8)
Computed, not measured: a relaxed ScTiRh crystal at the PBE level of DFT.

Calculated values
total magnetization	0.000	μB/atom
energy above the lowest structure with this stoichiometry	0.00	kcal/mol of atoms
crystal system	tetragonal
total DFT energy (no corrections)	-46.74	eV/cell
energy relative to the elements	-0.5970	eV/atom

Cell lengths 3.083, 3.083, 11.244 Å; angles 90.00, 90.00, 90.00 degrees
Space group P4/nmm (No. 129, origin choice 2)
Unique sites:
Sc 0.250 0.250 0.128
Ti 0.250 0.250 0.422
Rh 0.250 0.250 0.717